(1)
An optimized crystal structure of GaAu3C, computed with PBE-GGA.

```
GaAu3C
1.0
-4.168 0.917 1.169
0.205 -3.095 3.156
1.472 3.027 2.873
Au C Ga
3 1 1
Direct
0.000 0.000 0.500 Au
0.000 0.500 0.000 Au
0.500 0.000 0.000 Au
0.000 0.000 0.000 C
0.500 0.500 0.500 Ga
```

- Fermi-level density of states: 0.1079 states/eV per atom
- Density: 12.9 g/cm3
- ΔE_f: 305 kJ/mol of formula units

(2)
An optimized crystal structure of Ga3AuC, computed with PBE-GGA.

```
Ga3AuC
1.0
-0.007 4.219 -0.953
-2.258 -0.817 -3.598
-3.689 0.491 2.204
C Ga Au
1 3 1
Direct
0.000 0.000 0.000 C
0.500 0.000 0.000 Ga
0.000 0.000 0.500 Ga
0.000 0.500 0.000 Ga
0.500 0.500 0.500 Au
```

- Fermi-level density of states: 0.3865 states/eV per atom
- Density: 8.6 g/cm3
- ΔE_f: 275 kJ/mol of formula units

(3)
An optimized crystal structure of GaAu3C, computed with PBE-GGA.

```
GaAu3C
1.0
4.867 0.000 0.000
0.000 4.867 0.000
0.000 0.000 4.867
Au C Ga
3 1 1
Direct
0.000 0.000 0.500 Au
0.500 0.000 0.000 Au
0.000 0.500 0.000 Au
0.500 0.500 0.500 C
0.000 0.000 0.000 Ga
```

- Fermi-level density of states: 0.8064 states/eV per atom
- Density: 9.7 g/cm3
- ΔE_f: 835 kJ/mol of formula units

Looking at calculated total energy for the records above, in order, we have -3.785; -3.747; -2.685 eV/atom.